# 1
BPPdS2 (GGA-PBEsol, relaxed); symmetry = P4/mmm, No. 123; uncorrected formation energy = 7.3 eV per formula unit
1.0
4.7940 0.0000 0.0000
0.0000 4.7940 0.0000
0.0000 0.0000 4.3683
B P Pd S
1 1 1 2
Direct
0.0000 0.0000 0.0000
0.5000 0.5000 0.0000
0.5000 0.5000 0.5000
0.0000 0.5000 0.5000
0.5000 0.0000 0.5000

# 2
AlAgP2 (GGA-PBEsol, relaxed); symmetry = Pna2_1, No. 33; energy relative to the elements = -0.50 eV/f.u.
1.0
5.5172 0.0000 0.0000
0.0000 7.8513 0.0000
0.0000 0.0000 6.9777
Al Ag P
4 4 8
Direct
0.1626 0.1004 0.0000
0.3374 0.6004 0.5000
0.6626 0.3996 0.0000
0.8374 0.8996 0.5000
0.0210 0.6961 0.9627
0.4790 0.1961 0.4627
0.5210 0.8039 0.9627
0.9790 0.3039 0.4627
0.0574 0.3762 0.1270
0.1388 0.0649 0.6593
0.3612 0.5649 0.1593
0.4426 0.8762 0.6270
0.5574 0.1238 0.1270
0.6388 0.4351 0.6593
0.8612 0.9351 0.1593
0.9426 0.6238 0.6270

VASP energy, respectively: -4.043; -4.872 eV per atom.